Record 1
Computed, not measured: a geometry-optimized Li2Ag2P structure at the PBE level of DFT.

```
Li2Ag2P
1.0
-3.498 -4.930 -2.484
-1.956 -1.643 6.015
-3.281 2.519 -0.379
Ag Li P
4 4 2
direct
0.650 0.150 0.000
0.350 0.850 0.000
0.150 0.350 0.000
0.850 0.650 0.000
0.668 0.832 0.500
0.168 0.668 0.500
0.332 0.168 0.500
0.832 0.332 0.500
0.500 0.500 0.000
0.000 0.000 0.000
```

Output
SG ... P4/mbm (127)
Size of the total moment ... 0.00 μB/atom
Crystal system ... tetragonal
E above lowest polymorph ... 7 meV/atom
ρ ... 4.9 g cm⁻³

=====

Record 2
Computed, not measured: a geometry-optimized Dy3ThSc7 structure at the PBE level of DFT.

```
Dy3ThSc7
1.0
-5.967 -5.625 -1.098
0.952 -2.214 6.174
-4.365 4.854 -1.144
Sc Dy Th
7 3 1
direct
0.440 0.833 0.666
0.125 0.664 0.832
0.440 0.334 0.167
0.440 0.833 0.167
0.125 0.168 0.832
0.125 0.168 0.336
0.123 0.667 0.333
0.786 0.500 0.000
0.786 0.000 0.500
0.786 0.500 0.500
0.442 0.333 0.667
```

Output
SG ... P3m1 (156)
Size of the total moment ... 0.00 μB/atom
Total DFT energy (no corrections) ... -5.75 eV per atom
Crystal system ... trigonal
ρ ... 5.5 g cm⁻³

=====

Record 3
Computed, not measured: a geometry-optimized AcLa2SmY2 structure at the PBE level of DFT.

```
AcLa2SmY2
1.0
3.491 0.000 0.000
0.000 6.805 0.000
0.000 0.000 18.348
Y La Ac Sm
4 4 2 2
direct
0.500 0.724 0.322
0.500 0.276 0.678
0.000 0.224 0.178
0.000 0.776 0.822
0.000 0.287 0.844
0.500 0.213 0.344
0.500 0.787 0.656
0.000 0.713 0.156
0.000 0.000 0.000
0.500 0.500 0.500
0.000 0.000 0.500
0.500 0.500 0.000
```

Output
SG ... Pnnm (58)
Size of the total moment ... 0.00 μB/atom
Total DFT energy (no corrections) ... -5.00 eV per atom
Crystal system ... orthorhombic
ρ ... 6.3 g cm⁻³

=====

Record 4
Computed, not measured: a geometry-optimized Tb2PuTl3Te6 structure at the PBE level of DFT.

```
Tb2PuTl3Te6
1.0
7.770 0.000 0.000
-3.883 6.730 0.000
-1.296 -2.244 8.144
Te Pu Tb Tl
6 1 2 3
direct
0.735 0.735 0.214
0.408 0.072 0.215
0.928 0.592 0.785
0.265 0.265 0.786
0.592 0.928 0.785
0.072 0.408 0.215
0.000 0.000 0.000
0.333 0.667 0.000
0.667 0.333 0.000
0.166 0.834 0.500
0.834 0.166 0.500
0.500 0.500 0.500
```

Output
SG ... C2/m (12)
Size of the total moment ... 0.42 μB/atom
Crystal system ... monoclinic
Raw formation energy ... -0.958 eV per atom
ρ ... 7.6 g cm⁻³

=====

Record 5
Computed, not measured: a geometry-optimized MgMn2Pb structure at the PBE level of DFT.

```
MgMn2Pb
1.0
5.035 0.016 0.339
4.021 3.030 0.339
1.414 0.476 5.035
Mg Pb Mn
1 1 2
direct
0.250 0.250 0.250
0.750 0.750 0.750
0.008 0.008 0.111
0.492 0.492 0.389
```

Output
SG ... C2/m (12)
Size of the total moment ... 0.11 μB/atom
Total DFT energy (no corrections) ... -5.30 eV per atom
Crystal system ... monoclinic
ρ ... 7.6 g cm⁻³

=====

Record 6
Computed, not measured: a geometry-optimized ZrNb2Co structure at the PBE level of DFT.

```
ZrNb2Co
1.0
-2.484 -1.458 0.205
-0.068 -2.826 -0.588
1.141 -3.473 9.471
Nb Zr Co
2 1 1
direct
0.903 0.903 0.291
0.097 0.097 0.709
0.000 0.000 0.000
0.500 0.500 0.500
```

Output
SG ... R-3m (166)
Size of the total moment ... 0.24 μB/atom
Crystal system ... trigonal
E above lowest polymorph ... 505 meV/atom
ρ ... 7.7 g cm⁻³

=====

Record 7
Computed, not measured: a geometry-optimized BaLi3Pt structure at the PBE level of DFT.

```
BaLi3Pt
1.0
-4.327 -0.210 -1.836
2.423 -1.609 -5.532
-0.480 -7.620 2.002
Li Pt Ba
6 2 2
direct
0.876 0.868 0.863
0.876 0.486 0.863
0.875 0.676 0.536
0.375 0.676 0.365
0.376 0.867 0.039
0.375 0.485 0.039
0.376 0.677 0.728
0.876 0.676 0.174
0.876 0.176 0.245
0.376 0.177 0.657
```

Output
SG ... Pmc2_1 (26)
Size of the total moment ... 0.00 μB/atom
Crystal system ... orthorhombic
E above lowest polymorph ... 0 meV/atom
ρ ... 5.1 g cm⁻³

=====

Record 8
Computed, not measured: a geometry-optimized LaCrBr2 structure at the PBE level of DFT.

```
LaCrBr2
1.0
-0.536 2.981 2.341
-1.751 -2.299 2.527
5.503 -3.839 6.148
Br Cr La
2 1 1
direct
0.000 0.062 0.938
0.500 0.146 0.353
0.000 0.512 0.488
0.500 0.780 0.720
```

Output
SG ... Pmm2 (25)
Size of the total moment ... 1.25 μB/atom
Crystal system ... orthorhombic
Raw formation energy ... -0.650 eV per atom
E above lowest polymorph ... 0 meV/atom
ρ ... 4.8 g cm⁻³

=====

Record 9
Computed, not measured: a geometry-optimized Al4Cr structure at the PBE level of DFT.

```
Al4Cr
1.0
4.925 0.000 0.000
-1.642 4.644 0.000
-1.642 -2.322 4.021
Al Cr
4 1
direct
0.500 0.000 0.000
0.000 0.000 0.500
0.500 0.500 0.500
0.000 0.500 0.000
0.000 0.000 0.000
```

Output
SG ... Im-3m (229)
Size of the total moment ... 0.00 μB/atom
Crystal system ... cubic
E above lowest polymorph ... 47 meV/atom
ρ ... 2.9 g cm⁻³

=====

Record 10
Computed, not measured: a geometry-optimized LaMo2Au structure at the PBE level of DFT.

```
LaMo2Au
1.0
-2.435 0.698 -1.218
-1.798 -3.733 1.457
-1.894 3.077 5.547
Mo La Au
2 1 1
direct
0.000 0.000 0.440
0.000 0.000 0.060
0.500 0.500 0.750
0.500 0.500 0.250
```

Output
SG ... Pmmm (47)
Size of the total moment ... 0.00 μB/atom
Crystal system ... orthorhombic
E above lowest polymorph ... 445 meV/atom
ρ ... 10.7 g cm⁻³

=====

Record 11
Computed, not measured: a geometry-optimized SrYGa2 structure at the PBE level of DFT.

```
SrYGa2
1.0
-3.548 1.058 -0.920
-2.657 -2.645 -0.703
-4.364 -0.565 8.266
Ga Sr Y
2 1 1
direct
0.745 0.745 0.766
0.255 0.255 0.234
0.500 0.500 0.500
0.000 0.000 0.000
```

Output
SG ... R-3m (166)
Size of the total moment ... 0.00 μB/atom
Total DFT energy (no corrections) ... -3.81 eV per atom
Crystal system ... trigonal
ρ ... 4.6 g cm⁻³

=====

Record 12
Computed, not measured: a geometry-optimized MgCdNiPd structure at the PBE level of DFT.

```
MgCdNiPd
1.0
4.486 0.000 0.000
2.243 3.885 0.000
2.243 1.295 3.663
Ni Pd Cd Mg
1 1 1 1
direct
0.750 0.750 0.750
0.250 0.250 0.250
0.500 0.500 0.500
0.000 0.000 0.000
```

Output
SG ... F-43m (216)
Size of the total moment ... 0.00 μB/atom
Total DFT energy (no corrections) ... -3.66 eV per atom
Crystal system ... cubic
ρ ... 7.9 g cm⁻³